Computed, not measured: crystalline Sm2CuIr at its relaxed geometry at the GGA-PBE level of DFT.

It has space group P2_1/m (No. 11), with a = 5.6802 Å, b = 4.3905 Å, c = 7.8061 Å, α = 90.00°, β = 110.35° and γ = 90.00°. The distinct sites, in fractional coordinates, are Sm at (0.2169, 0.2500, 0.4364), Sm at (0.2275, 0.2500, 0.9255), Cu at (0.3492, 0.7500, 0.2128) and Ir at (0.3498, 0.7500, 0.7149).

The spin magnetization is 0.000 μB per formula unit. For the formation energy from the elements, the calculation gives -0.55 eV per atom.